1.
# PBE ZrMnMo2, relaxed
# energy: -78.33 eV for the cell shown
# DOS(E_F): 0.69 states/eV/atom
# size of the total moment: 0.000 μB per atom
# energy relative to the lowest polymorph listed for this composition: 29 meV per atom
data_ZrMnMo2
_chemical_formula_sum 'Zr2 Mn2 Mo4'
_cell_length_a 3.161
_cell_length_b 4.477
_cell_length_c 9.056
_cell_angle_alpha 90.00
_cell_angle_beta 90.00
_cell_angle_gamma 90.00
_space_group_name_H-M_alt 'I m m m'
_space_group_IT_number 71
_space_group_name_Hall '-I 2 2'
loop_
_atom_site_label
_atom_site_type_symbol
_atom_site_fract_x
_atom_site_fract_y
_atom_site_fract_z
_atom_site_occupancy
Zr1 Zr 0.000 0.000 0.000 1
Mn1 Mn 0.000 0.000 0.500 1
Mo1 Mo 0.000 0.500 0.239 1

2.
# PBE ZrMnMo2, relaxed
# energy: -77.50 eV for the cell shown
# DOS(E_F): 1.16 states/eV/atom
# size of the total moment: 0.317 μB per atom
# energy relative to the lowest polymorph listed for this composition: 134 meV per atom
data_ZrMnMo2
_chemical_formula_sum 'Zr2 Mn2 Mo4'
_cell_length_a 3.269
_cell_length_b 4.499
_cell_length_c 8.775
_cell_angle_alpha 90.00
_cell_angle_beta 90.00
_cell_angle_gamma 90.00
_space_group_name_H-M_alt 'C m m m'
_space_group_IT_number 65
_space_group_name_Hall '-C 2 2'
loop_
_atom_site_label
_atom_site_type_symbol
_atom_site_fract_x
_atom_site_fract_y
_atom_site_fract_z
_atom_site_occupancy
Zr1 Zr 0.000 0.000 0.000 1
Mn1 Mn 0.000 0.000 0.500 1
Mo1 Mo 0.000 0.500 0.280 1

3.
# PBE ZrMnMo2, relaxed
# energy: -77.57 eV for the cell shown
# DOS(E_F): 1.05 states/eV/atom
# size of the total moment: 0.271 μB per atom
# energy relative to the lowest polymorph listed for this composition: 124 meV per atom
data_ZrMnMo2
_chemical_formula_sum 'Zr2 Mn2 Mo4'
_cell_length_a 3.227
_cell_length_b 4.602
_cell_length_c 8.706
_cell_angle_alpha 90.00
_cell_angle_beta 90.00
_cell_angle_gamma 90.00
_space_group_name_H-M_alt 'C m m 2'
_space_group_IT_number 35
loop_
_space_group_symop_operation_xyz
'x,y,z'
'-x,-y,z'
'-x,y,z'
'x,-y,z'
'x+1/2,y+1/2,z'
'-x+1/2,-y+1/2,z'
'-x+1/2,y+1/2,z'
'x+1/2,-y+1/2,z'
loop_
_atom_site_label
_atom_site_type_symbol
_atom_site_fract_x
_atom_site_fract_y
_atom_site_fract_z
_atom_site_occupancy
Zr1 Zr 0.000 0.000 0.000 1
Mn1 Mn 0.000 0.500 0.252 1
Mo1 Mo 0.000 0.000 0.471 1
Mo2 Mo 0.000 0.500 0.719 1

Q: The lowest size of the total moment belongs to which entry?
A: number 1

Q: Which of these has the highest size of the total moment?
A: number 2

Q: Which formula does entry 3 have?
A: ZrMnMo2